VASP calculation (PBE-GGA) on an optimized crystal structure of AgHgCl2.

Unit cell a=4.3933 b=6.9431 c=5.3446 alpha=39.62 beta=90.00 gamma=90.00
Last column: nearest neighbours and their distance in Å.
Fractional coordinates of all 4 atoms:
Hg 0.5000 0.5000 0.5000  2 Cl 2.67
Ag 0.0000 0.0000 0.5000  2 Cl 2.67
Cl 0.0000 0.0000 0.0000  2 Ag 2.67
Cl 0.5000 0.5000 0.0000  2 Hg 2.67

Properties
Energy relative to the lowest polymorph listed for this composition in meV per atom: 44
V in Å³/f.u.: 104.0
Calculated total energy in eV/cell: -8.03